--- P ---
This record from the Open Quantum Materials Database describes Hf3Ag4Ge4 after structural relaxation. The functional is PBE.

```
data_Hf3Ag4Ge4
_chemical_formula_sum 'Hf6 Ag8 Ge8'
_symmetry_space_group_name_H-M 'I -4 2 m'
_symmetry_Int_Tables_number 121
_symmetry_space_group_name_Hall 'I -4 2'
_cell_length_a 5.987
_cell_length_b 5.987
_cell_length_c 12.253
_cell_angle_alpha 90.00
_cell_angle_beta 90.00
_cell_angle_gamma 90.00
loop_
_atom_site_label
_atom_site_fract_x
_atom_site_fract_y
_atom_site_fract_z
_atom_site_occupancy
Hf1 0.000 0.000 0.000 1
Hf2 0.000 0.500 0.250 1
Ag1 0.172 0.172 0.599 1
Ge1 0.000 0.000 0.224 1
Ge2 0.000 0.500 0.000 1
```

--- Q ---
This record from the Open Quantum Materials Database describes Hf3Ag4Ge4 after structural relaxation. The functional is PBE.

```
data_Hf3Ag4Ge4
_chemical_formula_sum 'Hf3 Ag4 Ge4'
_symmetry_space_group_name_H-M 'P 1 m 1'
_symmetry_Int_Tables_number 6
_cell_length_a 6.682
_cell_length_b 4.027
_cell_length_c 8.012
_cell_angle_alpha 90.00
_cell_angle_beta 91.30
_cell_angle_gamma 90.00
loop_
_symmetry_equiv_pos_as_xyz
'x,y,z'
'x,-y,z'
loop_
_atom_site_label
_atom_site_fract_x
_atom_site_fract_y
_atom_site_fract_z
_atom_site_occupancy
Hf1 0.000 0.000 0.000 1
Hf2 0.092 0.500 0.371 1
Hf3 0.501 0.000 0.880 1
Ag1 0.171 0.500 0.739 1
Ag2 0.412 0.000 0.261 1
Ag3 0.687 0.500 0.143 1
Ag4 0.884 0.000 0.623 1
Ge1 0.283 0.500 0.057 1
Ge2 0.330 0.000 0.573 1
Ge3 0.771 0.500 0.821 1
Ge4 0.827 0.000 0.307 1
```

Compare the structures above. Which one is the most stable? Q is.